(1)
# CoAsP GGA-PBE optimized geometry
# DFT total energy ... -5.86 eV/atom
# Relative energy among the computed polymorphs ... 306 meV/atom
# Formation energy from the elements ... -0.14 eV/atom
data_CoAsP
_chemical_formula_sum 'Co4 As4 P4'
_symmetry_space_group_name_H-M 'F -4 3 m'
_symmetry_Int_Tables_number 216
_symmetry_space_group_name_Hall 'F -4 2 3'
_cell_length_a 5.6036
_cell_length_b 5.6036
_cell_length_c 5.6036
_cell_angle_alpha 90.00
_cell_angle_beta 90.00
_cell_angle_gamma 90.00
loop_
_atom_site_label
_atom_site_fract_x
_atom_site_fract_y
_atom_site_fract_z
Co1 0.0000 0.0000 0.0000
As1 0.2500 0.2500 0.7500
P1 0.2500 0.2500 0.2500

(2)
# Co2AsP GGA-PBE optimized geometry
# DFT total energy ... -6.01 eV/atom
# Relative energy among the computed polymorphs ... 305 meV/atom
# Formation energy from the elements ... 0.06 eV/atom
data_Co2AsP
_chemical_formula_sum 'Co4 As2 P2'
_symmetry_space_group_name_H-M 'C m m m'
_symmetry_Int_Tables_number 65
_symmetry_space_group_name_Hall '-C 2 2'
_cell_length_a 5.6916
_cell_length_b 6.0958
_cell_length_c 2.8334
_cell_angle_alpha 90.00
_cell_angle_beta 90.00
_cell_angle_gamma 90.00
loop_
_atom_site_label
_atom_site_fract_x
_atom_site_fract_y
_atom_site_fract_z
Co1 0.2500 0.2500 0.0000
As1 0.0000 0.0000 0.5000
P1 0.0000 0.5000 0.5000

(3)
# CoAsP GGA-PBE optimized geometry
# DFT total energy ... -5.95 eV/atom
# Relative energy among the computed polymorphs ... 210 meV/atom
# Formation energy from the elements ... -0.23 eV/atom
data_CoAsP
_chemical_formula_sum 'Co4 As4 P4'
_symmetry_space_group_name_H-M 'P c a 21'
_symmetry_Int_Tables_number 29
_symmetry_space_group_name_Hall 'P 2c -2ac'
_cell_length_a 5.7238
_cell_length_b 5.2994
_cell_length_c 5.7560
_cell_angle_alpha 90.00
_cell_angle_beta 90.00
_cell_angle_gamma 90.00
loop_
_atom_site_label
_atom_site_fract_x
_atom_site_fract_y
_atom_site_fract_z
Co1 0.0155 0.2230 0.0000
As1 0.1287 0.6548 0.1189
P1 0.1333 0.1463 0.3614

(4)
# Pa2Co4AsP3 GGA-PBE optimized geometry
# DFT total energy ... -7.74 eV/atom
# Formation energy from the elements ... -0.91 eV/atom
data_Pa2Co4AsP3
_chemical_formula_sum 'Pa2 Co4 As1 P3'
_symmetry_space_group_name_H-M 'P -4 m 2'
_symmetry_Int_Tables_number 115
_symmetry_space_group_name_Hall 'P -4 -2'
_cell_length_a 4.0171
_cell_length_b 4.0171
_cell_length_c 8.9737
_cell_angle_alpha 90.00
_cell_angle_beta 90.00
_cell_angle_gamma 90.00
loop_
_atom_site_label
_atom_site_fract_x
_atom_site_fract_y
_atom_site_fract_z
Pa1 0.0000 0.5000 0.2442
Co1 0.0000 0.0000 0.0000
Co2 0.0000 0.5000 0.6207
Co3 0.5000 0.5000 0.0000
As1 0.0000 0.0000 0.5000
P1 0.0000 0.5000 0.8685
P2 0.5000 0.5000 0.5000

(5)
# CoAsPS2 GGA-PBE optimized geometry
# DFT total energy ... -4.54 eV/atom
# Relative energy among the computed polymorphs ... 0 meV/atom
# E_form (uncorrected) ... 2.7 eV per formula unit
data_CoAsPS2
_chemical_formula_sum 'Co1 As1 P1 S2'
_symmetry_space_group_name_H-M 'P 4/m m m'
_symmetry_Int_Tables_number 123
_symmetry_space_group_name_Hall '-P 4 2'
_cell_length_a 4.5415
_cell_length_b 4.5415
_cell_length_c 4.1723
_cell_angle_alpha 90.00
_cell_angle_beta 90.00
_cell_angle_gamma 90.00
loop_
_atom_site_label
_atom_site_fract_x
_atom_site_fract_y
_atom_site_fract_z
Co1 0.0000 0.0000 0.0000
As1 0.5000 0.5000 0.5000
P1 0.0000 0.0000 0.5000
S1 0.0000 0.5000 0.0000

(6)
# CoAsPSe2 GGA-PBE optimized geometry
# DFT total energy ... -3.85 eV/atom
# Relative energy among the computed polymorphs ... 320 meV/atom
# E_form (uncorrected) ... 4.9 eV per formula unit
data_CoAsPSe2
_chemical_formula_sum 'Co1 As1 P1 Se2'
_symmetry_space_group_name_H-M 'P 4/m m m'
_symmetry_Int_Tables_number 123
_symmetry_space_group_name_Hall '-P 4 2'
_cell_length_a 4.8642
_cell_length_b 4.8642
_cell_length_c 4.5980
_cell_angle_alpha 90.00
_cell_angle_beta 90.00
_cell_angle_gamma 90.00
loop_
_atom_site_label
_atom_site_fract_x
_atom_site_fract_y
_atom_site_fract_z
Co1 0.0000 0.0000 0.0000
As1 0.5000 0.5000 0.0000
P1 0.5000 0.5000 0.5000
Se1 0.0000 0.5000 0.5000